(1)
VASP calculation (PBE-GGA) on a geometry-optimized Nb4VTc structure.

```
6
Lattice="4.3670 0.0000 0.0000 0.0000 4.3670 0.0000 0.0000 0.0000 6.1320" Properties=species:S:1:pos:R:3 pbc="T T T"
Nb 0.0000 2.1835 1.5034
Nb 0.0000 2.1835 4.6286
Nb 2.1835 0.0000 1.5034
Nb 2.1835 0.0000 4.6286
V 0.0000 0.0000 0.0000
Tc 2.1835 2.1835 3.0660
```

E above lowest polymorph (kJ per mole of atoms): 60.2
Uncorrected energy (eV per atom): -9.46
ΔE_f (eV/atom): 0.50
SG: P4/mmm (123)
Total moment (Bohr magnetons per cell): 0.00

***

(2)
VASP calculation (PBE-GGA) on a geometry-optimized LiMgCu2 structure.

```
4
Lattice="2.7450 -3.7416 0.0000 2.7450 3.7416 0.0000 -0.0537 0.0000 2.8088" Properties=species:S:1:pos:R:3 pbc="T T T"
Li 0.0000 0.0000 0.0000
Mg 2.7450 0.0000 0.0000
Cu 1.3456 1.8708 1.4044
Cu 1.3456 -1.8708 1.4044
```

Uncorrected energy (eV per atom): -2.95
ΔE_f (eV/atom): -0.03
SG: C2/m (12)
Total moment (Bohr magnetons per cell): 0.00

***

(3)
VASP calculation (PBE-GGA) on a geometry-optimized HfGa2Tc structure.

```
8
Lattice="-1.9240 1.9240 9.7213 1.9240 -1.9240 9.7213 1.9240 1.9240 -9.7213" Properties=species:S:1:pos:R:3 pbc="T T T"
Hf 0.0000 0.0000 0.0000
Hf 0.0000 1.9240 4.8607
Ga 0.9620 -0.9026 7.2910
Ga 1.0214 0.9620 2.4303
Ga 0.9620 2.8265 -2.4303
Ga 0.9026 0.9620 12.1517
Tc 1.9240 0.0000 4.8607
Tc 0.0000 0.0000 9.7213
```

E above lowest polymorph (kJ per mole of atoms): 34.9
Uncorrected energy (eV per atom): -6.58
ΔE_f (eV/atom): 0.01
SG: I-42d (122)
Total moment (Bohr magnetons per cell): 0.00

***

(4)
VASP calculation (PBE-GGA) on a geometry-optimized KSb2P structure.

```
4
Lattice="3.2141 0.0000 0.0000 0.0000 5.1866 0.0000 0.0000 0.0000 6.6110" Properties=species:S:1:pos:R:3 pbc="T T T"
K 0.0000 0.0000 0.0000
Sb 1.6071 2.5933 1.8833
Sb 1.6071 2.5933 4.7277
P 1.6071 0.0000 3.3055
```

Uncorrected energy (eV per atom): -3.60
SG: Pmmm (47)
Total moment (Bohr magnetons per cell): 0.00

***

(5)
VASP calculation (PBE-GGA) on a geometry-optimized Hg6Sb2I2Br structure.

```
11
Lattice="7.1849 0.0000 0.0000 -0.4053 7.3957 0.0000 -0.9220 -2.9638 7.3325" Properties=species:S:1:pos:R:3 pbc="T T T"
Hg 0.4253 2.1396 2.7141
Hg 0.3976 -0.4280 4.3672
Hg 2.0105 5.6442 0.8811
Hg 3.8472 -1.2122 6.4514
Hg 5.4600 4.8600 2.9653
Hg 5.4324 2.2923 4.6184
Sb 1.1100 3.1313 0.1507
Sb 4.7477 1.3006 7.1818
I 2.2152 4.0359 5.0548
I 3.6424 0.3961 2.2776
Br 0.0000 0.0000 0.0000
```

Uncorrected energy (eV per atom): -1.47
SG: P-1 (2)
Total moment (Bohr magnetons per cell): 0.00

***

(6)
VASP calculation (PBE-GGA) on a geometry-optimized Th2PaNb structure.

```
4
Lattice="1.6304 0.9413 11.7335 -1.6304 0.9413 11.7335 0.0000 -1.8827 11.7335" Properties=species:S:1:pos:R:3 pbc="T T T"
Th 0.0000 0.0000 2.9150
Th 0.0000 0.0000 32.2856
Pa 0.0000 0.0000 17.6003
Nb 0.0000 0.0000 0.0000
```

Uncorrected energy (eV per atom): -8.05
ΔE_f (eV/atom): 0.55
SG: R-3m (166)
Total moment (Bohr magnetons per cell): 0.00

***

(7)
VASP calculation (PBE-GGA) on a geometry-optimized Ti2Co2Hg structure.

```
10
Lattice="7.3546 0.0000 0.0000 0.0000 7.3546 0.0000 0.0000 0.0000 2.8228" Properties=species:S:1:pos:R:3 pbc="T T T"
Ti 1.0538 2.6235 0.0000
Ti 2.6235 6.3009 0.0000
Ti 4.7311 1.0538 0.0000
Ti 6.3009 4.7311 0.0000
Co 0.9958 4.6732 1.4114
Co 2.6815 0.9958 1.4114
Co 4.6732 6.3588 1.4114
Co 6.3588 2.6815 1.4114
Hg 0.0000 0.0000 0.0000
Hg 3.6773 3.6773 0.0000
```

E above lowest polymorph (kJ per mole of atoms): 3.2
Uncorrected energy (eV per atom): -6.08
ΔE_f (eV/atom): -0.02
SG: P4/mbm (127)
Total moment (Bohr magnetons per cell): 0.00

***

(8)
VASP calculation (PBE-GGA) on a geometry-optimized Li2Zn4Rh structure.

```
7
Lattice="2.1134 1.2202 6.8124 -2.1134 1.2202 6.8124 0.0000 -2.4404 6.8124" Properties=species:S:1:pos:R:3 pbc="T T T"
Li 0.0000 0.0000 4.9724
Li 0.0000 0.0000 15.4649
Zn 0.0000 0.0000 2.4598
Zn 0.0000 0.0000 7.5960
Zn 0.0000 0.0000 12.8413
Zn 0.0000 0.0000 17.9775
Rh 0.0000 0.0000 10.2186
```

E above lowest polymorph (kJ per mole of atoms): 0.0
Uncorrected energy (eV per atom): -2.54
ΔE_f (eV/atom): -0.22
SG: R-3m (166)
Total moment (Bohr magnetons per cell): 0.00

***

(9)
VASP calculation (PBE-GGA) on a geometry-optimized ZrZnBr structure.

```
3
Lattice="0.0000 3.2278 3.2278 3.2278 0.0000 3.2278 3.2278 3.2278 0.0000" Properties=species:S:1:pos:R:3 pbc="T T T"
Zr 0.0000 0.0000 0.0000
Zn 3.2278 3.2278 3.2278
Br 4.8417 4.8417 4.8417
```

E above lowest polymorph (kJ per mole of atoms): 69.1
Uncorrected energy (eV per atom): -3.54
SG: F-43m (216)
Total moment (Bohr magnetons per cell): 0.00

***

(10)
VASP calculation (PBE-GGA) on a geometry-optimized Rb2TaInI6 structure.

```
10
Lattice="0.0000 6.1422 6.1422 6.1422 0.0000 6.1422 6.1422 6.1422 0.0000" Properties=species:S:1:pos:R:3 pbc="T T T"
Rb 3.0711 3.0711 3.0711
Rb 9.2134 9.2134 9.2134
Ta 0.0000 0.0000 0.0000
In 6.1422 6.1422 6.1422
I 6.1422 6.1422 2.8430
I 6.1422 2.8430 6.1422
I 9.4415 6.1422 6.1422
I 2.8430 6.1422 6.1422
I 6.1422 9.4415 6.1422
I 6.1422 6.1422 9.4415
```

Uncorrected energy (eV per atom): -3.31
SG: Fm-3m (225)
Total moment (Bohr magnetons per cell): 2.00

***

(11)
VASP calculation (PBE-GGA) on a geometry-optimized ZrAg2TeSe structure.

```
5
Lattice="4.8464 0.0000 0.0000 0.0000 4.8464 0.0000 0.0000 0.0000 5.9474" Properties=species:S:1:pos:R:3 pbc="T T T"
Zr 0.0000 0.0000 0.0000
Ag 0.0000 2.4232 2.9737
Ag 2.4232 0.0000 2.9737
Te 2.4232 2.4232 0.0000
Se 2.4232 2.4232 2.9737
```

Uncorrected energy (eV per atom): -3.59
SG: P4/mmm (123)
Total moment (Bohr magnetons per cell): 2.23

***

(12)
VASP calculation (PBE-GGA) on a geometry-optimized K3CaBi2O6 structure.

```
12
Lattice="3.0899 -5.3525 0.0000 3.0899 5.3525 0.0000 -2.0607 0.0000 6.2527" Properties=species:S:1:pos:R:3 pbc="T T T"
K 0.0000 0.0000 0.0000
K 3.0899 1.7645 0.0000
K 3.0899 -1.7645 0.0000
Ca 2.0596 0.0000 3.1264
Bi 2.0596 3.5670 3.1264
Bi 2.0596 -3.5670 3.1264
O 1.0062 1.8247 1.9029
O -0.0466 0.0000 4.3459
O 1.0062 -1.8247 1.9029
O 3.1129 1.8247 4.3498
O 4.1657 0.0000 1.9069
O 3.1129 -1.8247 4.3498
```

Uncorrected energy (eV per atom): -5.16
SG: C2/m (12)
Total moment (Bohr magnetons per cell): 0.00

***

- Which of these has the lowest uncorrected energy?
  Nb4VTc